No. 1
DFT (PBE) results for a relaxed K2ZnSiAu6 crystal.

Calculated values
Uncorrected formation energy, eV/atom: -0.268
DOS(E_F), states/eV/cell: 3.12
Mass density, Mg/m³: 9.33

```
data_K2ZnSiAu6
_cell_length_a 6.835
_cell_length_b 7.148
_cell_length_c 6.816
_cell_angle_alpha 61.66
_cell_angle_beta 59.91
_cell_angle_gamma 90.01
_symmetry_space_group_name_H-M 'P 1'
_symmetry_Int_Tables_number 1
loop_
_symmetry_equiv_pos_as_xyz
'x,y,z'
loop_
_atom_site_label
_atom_site_type_symbol
_atom_site_fract_x
_atom_site_fract_y
_atom_site_fract_z
K1 K 0.708 0.126 0.584
K2 K 0.292 0.874 0.416
Zn1 Zn 0.000 0.000 0.000
Si1 Si 0.500 0.500 0.000
Au1 Au 0.254 0.346 0.492
Au2 Au 0.747 0.655 0.090
Au3 Au 0.163 0.655 0.090
Au4 Au 0.837 0.345 0.910
Au5 Au 0.253 0.345 0.910
Au6 Au 0.746 0.654 0.508
```


No. 2
DFT (PBE) results for a relaxed HfTc2HIr crystal.

Calculated values
Energy above the lowest structure with this stoichiometry, kcal/mol of atoms: 0.621
DOS(E_F), states/eV/cell: 5.55
Mass density, Mg/m³: 14.35

```
data_HfTc2HIr
_cell_length_a 3.973
_cell_length_b 4.161
_cell_length_c 3.973
_cell_angle_alpha 90.00
_cell_angle_beta 90.00
_cell_angle_gamma 90.00
_symmetry_space_group_name_H-M 'P 1'
_symmetry_Int_Tables_number 1
loop_
_symmetry_equiv_pos_as_xyz
'x,y,z'
loop_
_atom_site_label
_atom_site_type_symbol
_atom_site_fract_x
_atom_site_fract_y
_atom_site_fract_z
H1 H 0.000 0.000 0.000
Ir1 Ir 0.000 0.500 0.000
Hf1 Hf 0.500 0.500 0.500
Tc1 Tc 0.000 0.000 0.500
Tc2 Tc 0.500 0.000 0.000
```


No. 3
DFT (PBE) results for a relaxed PaTiGa6 crystal.

Calculated values
E, eV/cell: -38.46
DOS(E_F), states/eV/cell: 4.06
Mass density, Mg/m³: 8.08

```
data_PaTiGa6
_cell_length_a 4.190
_cell_length_b 4.190
_cell_length_c 8.156
_cell_angle_alpha 90.00
_cell_angle_beta 90.00
_cell_angle_gamma 90.00
_symmetry_space_group_name_H-M 'P 1'
_symmetry_Int_Tables_number 1
loop_
_symmetry_equiv_pos_as_xyz
'x,y,z'
loop_
_atom_site_label
_atom_site_type_symbol
_atom_site_fract_x
_atom_site_fract_y
_atom_site_fract_z
Pa1 Pa 0.000 0.000 0.000
Ti1 Ti 0.000 0.000 0.500
Ga1 Ga 0.500 0.500 0.000
Ga2 Ga 0.500 0.500 0.500
Ga3 Ga 0.500 0.000 0.266
Ga4 Ga 0.500 0.000 0.734
Ga5 Ga 0.000 0.500 0.266
Ga6 Ga 0.000 0.500 0.734
```


no.,total magnetic moment (μB/atom)
1,0.00
2,0.00
3,0.00